DFT (PBE) results for a relaxed ZnSi4SnO10 crystal.

Properties
SG: P4/ncc
Fermi-level density of states (states/eV/cell): 0.00
Energy relative to the elements, uncorrected (meV/atom): -2356

abc: 7.5892 7.5892 15.0815
angles: 90.00 90.00 90.00
Fractional coordinates of all 64 atoms:
Sn1 0.5000 0.0000 0.6107
Sn2 0.0000 0.5000 0.3893
Sn3 0.0000 0.5000 0.8893
Sn4 0.5000 0.0000 0.1107
Si1 0.6354 0.7367 0.3515
Si2 0.2633 0.6354 0.6485
Si3 0.7633 0.1354 0.3515
Si4 0.1354 0.7633 0.1485
Si5 0.2367 0.1354 0.8515
Si6 0.3646 0.2633 0.3515
Si7 0.3646 0.7367 0.8515
Si8 0.7367 0.6354 0.1485
Si9 0.8646 0.7633 0.6485
Si10 0.2367 0.8646 0.3515
Si11 0.7633 0.8646 0.8515
Si12 0.2633 0.3646 0.1485
Si13 0.8646 0.2367 0.1485
Si14 0.7367 0.3646 0.6485
Si15 0.6354 0.2633 0.8515
Si16 0.1354 0.2367 0.6485
O1 0.7651 0.5751 0.6349
O2 0.2969 0.4080 0.4235
O3 0.7349 0.0751 0.8651
O4 0.7969 0.0920 0.0765
O5 0.9249 0.7349 0.1349
O6 0.2031 0.9080 0.0765
O7 0.4249 0.7651 0.3651
O8 0.9080 0.7969 0.9235
O9 0.0920 0.2031 0.9235
O10 0.4080 0.7031 0.5765
O11 0.7969 0.9080 0.5765
O12 0.8281 0.8281 0.7500
O13 0.6719 0.3281 0.7500
O14 0.3281 0.3281 0.2500
O15 0.0920 0.7969 0.4235
O16 0.2969 0.5920 0.9235
O17 0.4080 0.2969 0.0765
O18 0.0751 0.2651 0.1349
O19 0.2031 0.0920 0.5765
O20 0.6719 0.6719 0.2500
O21 0.7031 0.5920 0.4235
O22 0.5751 0.7651 0.8651
O23 0.3281 0.6719 0.7500
O24 0.2651 0.9249 0.8651
O25 0.5920 0.2969 0.5765
O26 0.2651 0.0751 0.3651
O27 0.1719 0.8281 0.2500
O28 0.9249 0.2651 0.6349
O29 0.7031 0.4080 0.9235
O30 0.9080 0.2031 0.4235
O31 0.2349 0.5751 0.1349
O32 0.2349 0.4249 0.6349
O33 0.7651 0.4249 0.1349
O34 0.1719 0.1719 0.7500
O35 0.4249 0.2349 0.8651
O36 0.5920 0.7031 0.0765
O37 0.0751 0.7349 0.6349
O38 0.7349 0.9249 0.3651
O39 0.8281 0.1719 0.2500
O40 0.5751 0.2349 0.3651
Zn1 0.5000 0.5000 0.5000
Zn2 0.5000 0.5000 0.0000
Zn3 0.0000 0.0000 0.5000
Zn4 0.0000 0.0000 0.0000